# 1
The following is a PBE calculation of a geometry-optimized Ba2MnIr2 structure, from Alexandria.

The value obtained for the final energy is -4.77 eV per atom.

a = 9.0442 Å, b = 9.0442 Å, c = 3.2213 Å
α = 90.00°, β = 90.00°, γ = 90.00°
Space group P4/mbm (No. 127)
Symmetry-distinct sites (fractional):
Ba  0.1345  0.3655  0.0000
Mn  0.0000  0.0000  0.0000
Ir  0.1710  0.6710  0.5000


# 2
The following is a PBE calculation of a geometry-optimized TmHfOsRu structure, from Alexandria.

The value obtained for the final energy is -9.27 eV per atom.

a = 6.5913 Å, b = 6.5913 Å, c = 6.5913 Å
α = 90.00°, β = 90.00°, γ = 90.00°
Space group F-43m (No. 216)
Symmetry-distinct sites (fractional):
Tm  0.0000  0.0000  0.0000
Hf  0.0000  0.0000  0.5000
Os  0.2500  0.2500  0.7500
Ru  0.2500  0.2500  0.2500


# 3
The following is a PBE calculation of a geometry-optimized Ac7Co2Pb2 structure, from Alexandria.

The value obtained for the final energy is -4.70 eV per atom.

a = 8.5782 Å, b = 12.2512 Å, c = 7.6112 Å
α = 90.00°, β = 90.00°, γ = 90.00°
Space group Cmmm (No. 65)
Symmetry-distinct sites (fractional):
Ac  0.0000  0.0000  0.0000
Ac  0.0000  0.5000  0.2262
Ac  0.2500  0.2500  0.2431
Co  0.0000  0.2898  0.0000
Pb  0.1771  0.0000  0.5000


Q: Look up the final energy of the third one.
A: -4.70 eV per atom


Q: Which formula does entry 1 have?
A: Ba2MnIr2